No. 1
Lu3Cd: optimized geometry, GGA-PBE.

Unit cell a=4.750 b=4.750 c=4.750 alpha=90.00 beta=90.00 gamma=90.00
Positions (direct):
Lu  0.500  0.000  0.500
Lu  0.000  0.500  0.500
Cd  0.000  0.000  0.000
Lu  0.500  0.500  0.000

Summary:
* E above lowest polymorph: 0.194 eV/f.u.
* ΔE_f: -0.083 eV/atom
* magnetic moment: 0.000 μB per formula unit
* DFT total energy: -3.70 eV per atom
* V: 26.8 A^3/atom

No. 2
Sm3S5: optimized geometry, GGA-PBE.

Unit cell a=5.630 b=8.507 c=8.507 alpha=120.00 beta=90.00 gamma=90.00
Positions (direct):
S  0.750  0.282  0.000
S  0.250  0.282  0.282
S  0.250  0.718  0.000
Sm  0.250  0.363  0.000
Sm  0.750  0.637  0.000
S  0.000  0.667  0.333
S  0.500  0.667  0.333
S  0.750  0.000  0.282
S  0.750  0.718  0.718
S  0.250  0.000  0.718
Sm  0.250  0.637  0.637
S  0.500  0.333  0.667
Sm  0.250  0.000  0.363
Sm  0.750  0.363  0.363
S  0.000  0.333  0.667
Sm  0.750  0.000  0.637

Summary:
* formation energy (no corrections): -1.867 eV/atom
* magnetic moment: 0.000 μB per formula unit
* DFT total energy: -6.22 eV per atom
* V: 22.1 A^3/atom

No. 3
CoOs2Ru: optimized geometry, GGA-PBE.

Unit cell a=5.205 b=5.205 c=5.205 alpha=149.34 beta=130.61 gamma=59.26
Site moments in Bohr magnetons follow the coordinates.
Positions (direct):
Os  0.755  0.255  0.500  0.07
Os  0.026  0.026  0.000  0.04
Ru  0.472  0.472  0.000  0.06
Co  0.248  0.748  0.500  0.97

Summary:
* E above lowest polymorph: 1.079 eV/f.u.
* ΔE_f: 0.411 eV/atom
* magnetic moment: 1.155 μB per formula unit
* DFT total energy: -9.30 eV per atom
* V: 13.5 A^3/atom

No. 4
Ba3NaTa2O8: optimized geometry, GGA-PBE.

Unit cell a=6.152 b=6.152 c=7.836 alpha=90.00 beta=90.00 gamma=120.00
Positions (direct):
Ta  0.333  0.667  0.195
Ba  0.000  0.000  0.000
O  0.826  0.653  0.700
O  0.667  0.333  0.043
O  0.333  0.667  0.957
O  0.653  0.826  0.300
Ba  0.333  0.667  0.643
O  0.347  0.174  0.700
Na  0.000  0.000  0.500
Ta  0.667  0.333  0.805
O  0.174  0.826  0.300
Ba  0.667  0.333  0.357
O  0.826  0.174  0.700
O  0.174  0.347  0.300

Summary:
* formation energy (no corrections): -2.626 eV/atom
* magnetic moment: 0.000 μB per formula unit
* DFT total energy: -7.66 eV per atom
* V: 18.3 A^3/atom